Entry 1:
An optimized crystal structure of LiSnPt2, computed with PBE.

Calculated values
M_tot: 0.000 μB/cell
E_tot: -20.00 eV/cell
V: 16.20 A^3/atom

abc: 3.368 3.368 5.712
angles: 90.00 90.00 90.00
Space group P4/mmm (No. 123)
Inequivalent atoms, fractional coordinates:
Li: 0.000 0.000 0.000
Sn: 0.000 0.000 0.500
Pt: 0.500 0.500 0.242

Entry 2:
An optimized crystal structure of LiSnPt2, computed with PBE.

Calculated values
M_tot: 0.021 μB/cell
E_tot: -38.83 eV/cell
V: 17.34 A^3/atom

abc: 4.4638 4.4638 8.0390
angles: 90.00 90.00 120.00
Space group P6_3/mmc (No. 194)
Inequivalent atoms, fractional coordinates:
Li: 0.0000 0.0000 0.2500
Sn: 0.3333 0.6667 0.2500
Pt: 0.3333 0.6667 0.5840

Entry 3:
An optimized crystal structure of LiTbSnPt, computed with PBE.

Calculated values
M_tot: 0.002 μB/cell
E_tot: -81.12 eV/cell
V: 19.17 A^3/atom

abc: 6.744 6.744 6.744
angles: 90.00 90.00 90.00
Space group F-43m (No. 216)
Inequivalent atoms, fractional coordinates:
Li: 0.000 0.000 0.000
Tb: 0.250 0.250 0.250
Sn: 0.250 0.250 0.750
Pt: 0.000 0.000 0.500